Entry 1:
First-principles (GGA-PBEsol) data for a geometry-optimized FeAg2Sb structure, as listed in Alexandria.

As for the energy relative to the elements, uncorrected: 260 meV/atom. The value obtained for the density of states at the Fermi level is 3.59 states/eV/cell. The calculation puts the spin magnetization at 0.49 μB/atom.

The structure belongs to space group Pmm2 (No. 25); the cell edges are 3.3309, 3.3411 and 6.0755 Å and the angles 90.00°, 90.00° and 90.00°. The inequivalent atoms are Fe at (0.0000, 0.0000, 0.0000), Ag at (0.0000, 0.0000, 0.5085), Ag at (0.5000, 0.5000, 0.7442) and Sb at (0.5000, 0.5000, 0.2009).



Entry 2:
First-principles (GGA-PBEsol) data for a geometry-optimized Zn2SiGeIr structure, as listed in Alexandria.

As for the energy relative to the elements, uncorrected: 1192 meV/atom. The value obtained for the density of states at the Fermi level is 2.81 states/eV/cell. The calculation puts the spin magnetization at 0.00 μB/atom.

The structure belongs to space group P4/mmm (No. 123); the cell edges are 4.4373, 4.4373 and 4.6688 Å and the angles 90.00°, 90.00° and 90.00°. The inequivalent atoms are Zn at (0.0000, 0.5000, 0.0000), Si at (0.0000, 0.0000, 0.5000), Ge at (0.0000, 0.0000, 0.0000) and Ir at (0.5000, 0.5000, 0.5000).



Entry 3:
First-principles (GGA-PBEsol) data for a geometry-optimized CaMgPb2 structure, as listed in Alexandria.

The value obtained for the formation energy is -1.19 eV/f.u. The value obtained for the density of states at the Fermi level is 2.38 states/eV/cell. The calculation puts the spin magnetization at 0.00 μB/atom.

The structure belongs to space group C2/m (No. 12); the cell edges are 9.8289, 3.7404 and 6.2232 Å and the angles 90.00°, 102.82° and 90.00°. The inequivalent atoms are Ca at (0.0000, 0.0000, 0.0000), Mg at (0.0000, 0.5000, 0.5000) and Pb at (0.2435, 0.0000, 0.7198).